A relaxed CaScBi3 crystal. Source: the Alexandria database, functional GGA-PBE.

abc: 5.619 5.619 5.619
angles: 90.00 90.00 90.00
Positions (direct):
Bi  0.000  0.000  0.500
Bi  0.500  0.000  0.000
Bi  0.000  0.500  0.000
Sc  0.000  0.000  0.000
Ca  0.500  0.500  0.500

Energy above the most stable polymorph in this dataset = 310.9 meV per atom
Symmetry = Pm-3m, No. 221
Calculated formation energy = -96 kJ/mol of formula units
Crystal system = cubic

A relaxed Co2PbBr crystal. Source: the Alexandria database, functional GGA-PBE.

abc: 6.204 6.204 6.204
angles: 145.34 145.34 49.83
Positions (direct):
Br  0.250  0.750  0.500
Co  0.000  0.000  0.000
Co  0.750  0.250  0.500
Pb  0.500  0.500  0.000

Energy above the most stable polymorph in this dataset = 490.4 meV per atom
Symmetry = I-4m2, No. 119
Formation energy from raw total energies = 0.757 eV per atom
Crystal system = tetragonal

A relaxed YLu3Rh crystal. Source: the Alexandria database, functional GGA-PBE.

abc: 5.295 5.295 5.295
angles: 90.00 90.00 90.00
Positions (direct):
Lu  0.500  0.000  0.000
Lu  0.000  0.000  0.500
Lu  0.000  0.500  0.000
Rh  0.000  0.000  0.000
Y  0.500  0.500  0.500

Symmetry = Pm-3m, No. 221
Calculated formation energy = -135 kJ/mol of formula units
Crystal system = cubic

A relaxed ZrMo2 crystal. Source: the Alexandria database, functional GGA-PBE.

abc: 6.304 6.304 6.304
angles: 90.00 90.00 90.00
Positions (direct):
Mo  0.613  0.613  0.613
Mo  0.113  0.613  0.887
Mo  0.113  0.887  0.387
Mo  0.387  0.113  0.887
Mo  0.887  0.387  0.113
Mo  0.887  0.113  0.613
Mo  0.613  0.887  0.113
Mo  0.387  0.387  0.387
Zr  0.000  0.500  0.500
Zr  0.000  0.000  0.000
Zr  0.500  0.000  0.500
Zr  0.500  0.500  0.000

Energy above the most stable polymorph in this dataset = 1717.8 meV per atom
Symmetry = Pa-3, No. 205
Calculated formation energy = 454 kJ/mol of formula units
Crystal system = cubic

A relaxed TiCoSbTe2 crystal. Source: the Alexandria database, functional GGA-PBE.

abc: 5.259 5.259 5.277
angles: 90.00 90.00 90.00
Positions (direct):
Co  0.500  0.500  0.500
Ti  0.000  0.000  0.000
Sb  0.000  0.000  0.500
Te  0.000  0.500  0.000
Te  0.500  0.000  0.000

Energy above the most stable polymorph in this dataset = 172.9 meV per atom
Symmetry = P4/mmm, No. 123
Formation energy from raw total energies = 0.665 eV per atom
Crystal system = tetragonal

A relaxed AgRh2Se crystal. Source: the Alexandria database, functional GGA-PBE.

abc: 2.976 5.095 5.404
angles: 51.60 90.00 90.00
Positions (direct):
Se  0.500  0.500  0.500
Rh  0.500  0.500  0.000
Rh  0.000  0.000  0.000
Ag  0.000  0.000  0.500

Symmetry = P2/m, No. 10
Formation energy from raw total energies = 0.256 eV per atom
Crystal system = monoclinic

A relaxed CsC3 crystal. Source: the Alexandria database, functional GGA-PBE.

abc: 3.984 3.984 3.984
angles: 90.00 90.00 90.00
Positions (direct):
Cs  0.000  0.000  0.000
C  0.000  0.500  0.500
C  0.500  0.500  0.000
C  0.500  0.000  0.500

Energy above the most stable polymorph in this dataset = 3204.1 meV per atom
Symmetry = Pm-3m, No. 221
Calculated formation energy = 1730 kJ/mol of formula units
Crystal system = cubic

A relaxed LaCeTlI crystal. Source: the Alexandria database, functional GGA-PBE.

abc: 5.590 5.590 5.590
angles: 60.00 60.00 60.00
Positions (direct):
Tl  0.000  0.000  0.000
Ce  0.250  0.250  0.250
I  0.500  0.500  0.500
La  0.750  0.750  0.750

Symmetry = F-43m, No. 216
Formation energy from raw total energies = -0.485 eV per atom
Crystal system = cubic

Q: Which raw total energy values were calculated for the entries above? A: -20.975; -16.566; -28.776; -102.022; -22.082; -20.015; -10.598; -16.718, in eV per cell.
Q: Which volume values were calculated for the entries above? A: 35.49; 19.22; 29.69; 20.88; 29.19; 16.05; 15.81; 30.88, in A^3/atom.